(1)
This record from the Alexandria database describes crystalline Ca5Tl3Br12 at its relaxed geometry. The functional is GGA-PBE.

Output
The raw formation energy comes out at -1.56 eV/atom.

Cell and atoms, written as extended XYZ:
```
80
Lattice="15.933 0.000 0.000 -5.311 15.022 0.000 -5.311 -7.511 13.009" Properties=species:S:1:pos:R:3 pbc="T T T"
Tl 9.294 4.694 1.626
Tl 9.294 10.328 1.626
Tl -1.328 6.572 8.131
Tl 1.328 -0.939 4.878
Tl 11.950 0.000 3.252
Tl 1.328 7.511 3.252
Tl 3.983 0.000 9.757
Tl -6.639 7.511 9.757
Tl 3.983 8.450 8.131
Tl 6.639 0.939 4.878
Tl -3.983 -2.817 11.383
Tl -3.983 2.817 11.383
Ca -1.328 3.755 3.252
Ca -2.656 7.511 0.000
Ca 0.000 0.000 0.000
Ca 3.983 2.817 1.626
Ca 5.311 -3.755 6.505
Ca 5.311 7.511 0.000
Ca -3.983 8.450 4.878
Ca 6.639 -4.694 11.383
Ca 6.639 6.572 4.878
Ca 1.328 -3.755 9.757
Ca 3.983 11.266 3.252
Ca 2.656 3.755 6.505
Ca 7.967 0.000 0.000
Ca -2.656 -3.755 6.505
Ca -1.328 0.939 8.131
Ca -1.328 12.205 1.626
Ca -5.311 3.755 6.505
Ca 9.294 -0.939 8.131
Ca 1.328 4.694 11.383
Ca 6.639 3.755 9.757
Br 10.431 1.547 0.340
Br 0.191 4.823 5.335
Br 11.896 3.530 3.876
Br 6.693 2.164 1.510
Br 2.019 5.469 8.794
Br 11.449 7.540 2.289
Br -1.274 8.877 5.385
Br -4.037 12.858 1.510
Br 0.637 9.552 8.794
Br 7.139 7.482 2.289
Br 8.157 4.235 4.995
Br 8.157 13.475 0.340
Br -4.674 6.595 6.844
Br 3.483 5.514 1.119
Br -5.502 10.787 4.995
Br 2.846 -2.688 7.675
Br -0.637 1.126 2.629
Br 3.483 9.479 1.170
Br 6.693 11.492 3.876
Br -0.827 5.543 1.170
Br -3.292 8.637 10.380
Br 3.929 6.145 5.385
Br 7.330 8.427 6.844
Br 6.138 -1.997 11.890
Br 1.382 1.366 7.624
Br -2.019 -0.916 6.165
Br -0.827 9.508 1.119
Br -1.382 -3.981 9.134
Br 8.604 -1.126 2.629
Br 6.138 1.968 11.839
Br 1.828 -1.968 11.839
Br 2.465 10.199 5.335
Br 5.948 6.385 10.380
Br 10.813 -3.276 8.014
Br 9.985 0.916 6.165
Br -2.846 -5.964 12.670
Br 1.828 1.997 11.890
Br 4.674 -2.041 4.215
Br -1.828 0.029 10.720
Br -2.846 3.276 8.014
Br 9.348 -5.347 11.500
Br 6.585 -1.366 7.624
Br -1.382 5.347 11.500
Br -6.138 -0.029 10.720
Br 3.292 2.041 4.215
Br -6.585 3.981 9.134
Br 5.120 2.688 7.675
Br -5.120 5.964 12.670
```

(2)
This record from the Alexandria database describes crystalline NaMnPd3 at its relaxed geometry. The functional is GGA-PBE.

Output
The formation energy comes out at 608.7 meV/atom.

Cell and atoms, written as extended XYZ:
```
5
Lattice="4.628 0.000 0.000 0.000 4.628 0.000 0.000 0.000 4.628" Properties=species:S:1:pos:R:3 pbc="T T T"
Na 2.314 2.314 2.314
Mn 0.000 0.000 0.000
Pd 0.000 2.314 0.000
Pd 0.000 0.000 2.314
Pd 2.314 0.000 0.000
```

(3)
This record from the Alexandria database describes crystalline DyTm4Hg at its relaxed geometry. The functional is GGA-PBE.

Output
The formation energy comes out at -40.1 meV/atom. As for the excess energy over the best structure of this formula in the dataset: 0.1015 eV per atom.

Cell and atoms, written as extended XYZ:
```
12
Lattice="-4.675 -0.668 4.119 5.377 -7.011 -0.340 3.587 6.621 3.032" Properties=species:S:1:pos:R:3 pbc="T T T"
Dy 2.257 -3.152 1.781
Dy 2.032 2.094 5.029
Tm 3.425 3.866 2.401
Tm 2.531 -1.379 4.758
Tm 4.896 0.694 3.016
Tm 5.412 -2.503 3.087
Tm -1.122 1.445 3.723
Tm -0.607 -1.752 3.794
Tm 1.759 0.321 2.052
Tm 0.865 -4.924 4.409
Hg -1.166 -0.165 1.034
Hg 5.455 -0.894 5.776
```

(4)
This record from the Alexandria database describes crystalline Cs2TaNbOs at its relaxed geometry. The functional is GGA-PBE.

Output
The formation energy comes out at 2500.0 meV/atom.

Cell and atoms, written as extended XYZ:
```
5
Lattice="6.638 0.000 0.000 0.000 4.668 0.000 0.000 0.000 6.638" Properties=species:S:1:pos:R:3 pbc="T T T"
Cs 0.000 0.000 3.319
Cs 3.319 0.000 0.000
Nb 0.000 0.000 0.000
Os 0.000 2.334 0.000
Ta 3.319 2.334 3.319
```

(5)
This record from the Alexandria database describes crystalline Pr2MgTl2 at its relaxed geometry. The functional is GGA-PBE.

Output
The formation energy comes out at -322.8 meV/atom. As for the excess energy over the best structure of this formula in the dataset: 0.0000 eV per atom.

Cell and atoms, written as extended XYZ:
```
10
Lattice="4.869 0.000 0.000 0.000 7.854 0.000 0.000 0.000 7.854" Properties=species:S:1:pos:R:3 pbc="T T T"
Pr 2.434 1.317 5.244
Pr 2.434 5.244 6.537
Pr 2.434 6.537 2.610
Pr 2.434 2.610 1.317
Mg 0.000 0.000 0.000
Mg 0.000 3.927 3.927
Tl 0.000 2.831 6.758
Tl 0.000 6.758 5.023
Tl 0.000 5.023 1.096
Tl 0.000 1.096 2.831
```

(6)
This record from the Alexandria database describes crystalline AlRe2O at its relaxed geometry. The functional is GGA-PBE.

Output
The raw formation energy comes out at 0.68 eV/atom. As for the excess energy over the best structure of this formula in the dataset: 0.5368 eV per atom.

Cell and atoms, written as extended XYZ:
```
4
Lattice="0.640 -4.123 0.445 0.294 -1.675 3.836 -3.074 -2.455 1.458" Properties=species:S:1:pos:R:3 pbc="T T T"
Re -0.535 -2.063 1.435
Re -1.605 -6.190 4.304
Al -1.070 -4.127 2.869
O 0.000 0.000 0.000
```

(7)
This record from the Alexandria database describes crystalline ZrCrSi2 at its relaxed geometry. The functional is GGA-PBE.

Output
The raw formation energy comes out at -0.32 eV/atom. As for the excess energy over the best structure of this formula in the dataset: 0.3063 eV per atom.

Cell and atoms, written as extended XYZ:
```
4
Lattice="2.998 0.013 0.000 -0.016 2.998 0.000 0.000 0.000 6.541" Properties=species:S:1:pos:R:3 pbc="T T T"
Cr 1.491 1.506 4.906
Si 0.000 0.000 6.184
Si 0.000 0.000 3.628
Zr 1.491 1.506 1.635
```

(8)
This record from the Alexandria database describes crystalline K3SmBr8 at its relaxed geometry. The functional is GGA-PBE.

Output
The raw formation energy comes out at -1.37 eV/atom.

Cell and atoms, written as extended XYZ:
```
12
Lattice="-5.818 2.155 4.120 -4.639 -2.243 -5.377 4.890 -7.211 3.947" Properties=species:S:1:pos:R:3 pbc="T T T"
K -3.078 -2.550 3.719
K -5.228 -0.044 -0.629
K -2.488 -4.749 -1.030
Sm 0.000 0.000 0.000
Br -2.482 -1.664 0.463
Br -4.987 -2.875 -2.441
Br 0.057 -6.798 0.002
Br 2.561 -5.587 2.906
Br -8.128 -1.712 -0.216
Br -5.623 -0.501 2.687
Br -0.580 -4.424 5.130
Br -3.084 -5.635 2.227
```

| no. | total magnetic moment (μB per formula unit) | calculated total energy (Ry per atom) | V (Å³/cell) |
| --- | --- | --- | --- |
| 1 | 0.00 | -0.25120 | 3113.7 |
| 2 | 0.00 | -0.33844 | 99.1 |
| 3 | 0.00 | -0.28212 | 350.8 |
| 4 | 5.02 | -0.32867 | 205.7 |
| 5 | 0.00 | -0.25725 | 300.3 |
| 6 | 0.00 | -0.56703 | 52.2 |
| 7 | 0.78 | -0.55680 | 58.8 |
| 8 | 0.00 | -0.23141 | 442.9 |